Entry 1:
Compound: ZrFe2GeH
Source: the Alexandria database
Functional: PBE
Structure: relaxed

Results
Excess energy over the best structure of this formula in the dataset (meV per atom): 102
M_tot (μB/f.u.): 4.75

Structure (POSCAR):
```
ZrFe2GeH
1.0
3.8575 0.0000 0.0000
0.0000 3.8575 0.0000
0.0000 0.0000 4.2386
Zr Fe Ge H
1 2 1 1
Direct
0.0000 0.0000 0.0000
0.0000 0.5000 0.5000
0.5000 0.0000 0.5000
0.5000 0.5000 0.0000
0.0000 0.0000 0.5000
```



Entry 2:
Compound: Dy4TlPSe2
Source: the Alexandria database
Functional: PBE
Structure: relaxed

Results
M_tot (μB/f.u.): 0.00
Formation energy (no corrections) (eV per formula unit): -10.7

Structure (POSCAR):
```
Dy4TlPSe2
1.0
7.2181 0.0000 0.0000
0.0000 4.0559 0.0000
-2.3190 0.0000 6.8950
Dy Tl P Se
4 1 1 2
Direct
0.2369 0.0000 0.2335
0.2533 0.5000 0.7650
0.7467 0.5000 0.2350
0.7631 0.0000 0.7665
0.0000 0.0000 0.5000
0.0000 0.5000 0.0000
0.5000 0.0000 0.0000
0.5000 0.5000 0.5000
```



Entry 3:
Compound: Nb9As7Pd
Source: the Alexandria database
Functional: PBE
Structure: relaxed

Results
M_tot (μB/f.u.): 0.00
ΔE_f (eV/atom): -0.609

Structure (POSCAR):
```
Nb9As7Pd
1.0
16.7683 0.0000 0.0000
-8.3842 14.5218 0.0000
0.0000 0.0000 3.6025
Nb As Pd
27 21 3
Direct
0.0039 0.8735 0.0000
0.0302 0.3557 0.5000
0.0723 0.5771 0.5000
0.1117 0.7969 0.5000
0.1265 0.1303 0.0000
0.2031 0.3148 0.5000
0.2463 0.5336 0.5000
0.2873 0.7537 0.5000
0.3168 0.1164 0.0000
0.3255 0.9698 0.5000
0.3559 0.3260 0.0000
0.4229 0.4952 0.5000
0.4664 0.7127 0.5000
0.4945 0.0724 0.0000
0.5048 0.9277 0.5000
0.5334 0.2879 0.0000
0.5778 0.5055 0.0000
0.6443 0.6745 0.5000
0.6740 0.0299 0.0000
0.6852 0.8883 0.5000
0.7121 0.2455 0.0000
0.7545 0.4666 0.0000
0.7996 0.6832 0.0000
0.8697 0.9961 0.0000
0.8836 0.2004 0.0000
0.9276 0.4222 0.0000
0.9701 0.6441 0.0000
0.0000 0.0000 0.5000
0.0737 0.2681 0.0000
0.1154 0.4884 0.0000
0.1568 0.7098 0.0000
0.1944 0.9263 0.0000
0.2632 0.1940 0.5000
0.2902 0.4470 0.0000
0.3333 0.6667 0.0000
0.3729 0.8846 0.0000
0.4466 0.1569 0.5000
0.4886 0.3739 0.5000
0.5116 0.6271 0.0000
0.5530 0.8432 0.0000
0.6261 0.1147 0.5000
0.6667 0.3333 0.5000
0.7103 0.5534 0.5000
0.7319 0.8056 0.0000
0.8060 0.0692 0.5000
0.8431 0.2897 0.5000
0.8853 0.5114 0.5000
0.9308 0.7368 0.5000
0.1547 0.0046 0.5000
0.8499 0.8453 0.5000
0.9954 0.1501 0.5000
```